(1)
The following is a DFT calculation (GGA-PBE) of BaCrBr after structural relaxation.

* crystal system: cubic
* distance to the lowest polymorph of the same formula: 106 meV per atom
* uncorrected energy: -4.419 eV/atom
* ΔE_f (raw): -0.01 eV per atom
* magnetic moment: 1.6666 μB/atom

Structure (CIF):
```
data_BaCrBr
_cell_length_a 7.6803
_cell_length_b 7.6803
_cell_length_c 7.6803
_cell_angle_alpha 90.00
_cell_angle_beta 90.00
_cell_angle_gamma 90.00
_symmetry_space_group_name_H-M 'F -4 3 m'
_symmetry_Int_Tables_number 216
_symmetry_space_group_name_Hall 'F -4 2 3'
loop_
_atom_site_label
_atom_site_fract_x
_atom_site_fract_y
_atom_site_fract_z
_atom_site_occupancy
Ba1 0.0000 0.0000 0.0000 1
Cr1 0.0000 0.0000 0.5000 1
Br1 0.2500 0.2500 0.2500 1
```



(2)
The following is a DFT calculation (GGA-PBE) of AcGdSbBr after structural relaxation.

* crystal system: cubic
* uncorrected energy: -7.091 eV/atom
* ΔE_f (raw): -1.09 eV per atom
* magnetic moment: 2.0665 μB/atom

Structure (CIF):
```
data_AcGdSbBr
_cell_length_a 7.8253
_cell_length_b 7.8253
_cell_length_c 7.8253
_cell_angle_alpha 90.00
_cell_angle_beta 90.00
_cell_angle_gamma 90.00
_symmetry_space_group_name_H-M 'F -4 3 m'
_symmetry_Int_Tables_number 216
_symmetry_space_group_name_Hall 'F -4 2 3'
loop_
_atom_site_label
_atom_site_fract_x
_atom_site_fract_y
_atom_site_fract_z
_atom_site_occupancy
Ac1 0.0000 0.0000 0.0000 1
Gd1 0.0000 0.0000 0.5000 1
Sb1 0.2500 0.2500 0.7500 1
Br1 0.2500 0.2500 0.2500 1
```



(3)
The following is a DFT calculation (GGA-PBE) of CaNd2Al9 after structural relaxation.

* crystal system: trigonal
* uncorrected energy: -4.094 eV/atom
* magnetic moment: 0.0000 μB/atom
* E_form: -326 meV per atom

Structure (CIF):
```
data_CaNd2Al9
_cell_length_a 5.7131
_cell_length_b 5.7131
_cell_length_c 26.4180
_cell_angle_alpha 90.00
_cell_angle_beta 90.00
_cell_angle_gamma 120.00
_symmetry_space_group_name_H-M 'R -3 m'
_symmetry_Int_Tables_number 166
_symmetry_space_group_name_Hall '-R 3 2"'
loop_
_atom_site_label
_atom_site_fract_x
_atom_site_fract_y
_atom_site_fract_z
_atom_site_occupancy
Ca1 0.0000 0.0000 0.0000 1
Nd1 0.0000 0.0000 0.1417 1
Al1 0.0000 0.0000 0.3354 1
Al2 0.0000 0.0000 0.5000 1
Al3 0.0082 0.5041 0.9170 1
```



(4)
The following is a DFT calculation (GGA-PBE) of CdIn12Bi6 after structural relaxation.

* crystal system: trigonal
* uncorrected energy: -2.937 eV/atom
* magnetic moment: 0.0000 μB/atom
* E_form: 66 meV per atom

Structure (CIF):
```
data_CdIn12Bi6
_cell_length_a 11.8205
_cell_length_b 11.8205
_cell_length_c 14.1503
_cell_angle_alpha 90.00
_cell_angle_beta 90.00
_cell_angle_gamma 120.00
_symmetry_space_group_name_H-M 'R -3'
_symmetry_Int_Tables_number 148
_symmetry_space_group_name_Hall '-R 3'
loop_
_atom_site_label
_atom_site_fract_x
_atom_site_fract_y
_atom_site_fract_z
_atom_site_occupancy
Cd1 0.0000 0.0000 0.0000 1
In1 0.0553 0.8662 0.7916 1
In2 0.0785 0.2051 0.4076 1
Bi1 0.0480 0.5900 0.7353 1
```



(5)
The following is a DFT calculation (GGA-PBE) of Sb2PdAu2 after structural relaxation.

* crystal system: tetragonal
* distance to the lowest polymorph of the same formula: 14 meV per atom
* uncorrected energy: -3.985 eV/atom
* ΔE_f (raw): 0.01 eV per atom
* magnetic moment: 0.0000 μB/atom

Structure (CIF):
```
data_Sb2PdAu2
_cell_length_a 7.3524
_cell_length_b 7.3524
_cell_length_c 3.9590
_cell_angle_alpha 90.00
_cell_angle_beta 90.00
_cell_angle_gamma 90.00
_symmetry_space_group_name_H-M 'P 4/m b m'
_symmetry_Int_Tables_number 127
_symmetry_space_group_name_Hall '-P 4 2ab'
loop_
_atom_site_label
_atom_site_fract_x
_atom_site_fract_y
_atom_site_fract_z
_atom_site_occupancy
Sb1 0.1727 0.3273 0.0000 1
Pd1 0.0000 0.0000 0.5000 1
Au1 0.1368 0.6368 0.5000 1
```



(6)
The following is a DFT calculation (GGA-PBE) of AcZn2As after structural relaxation.

* crystal system: tetragonal
* uncorrected energy: -3.239 eV/atom
* magnetic moment: 0.0000 μB/atom
* E_form: -413 meV per atom

Structure (CIF):
```
data_AcZn2As
_cell_length_a 4.4251
_cell_length_b 4.4251
_cell_length_c 5.0644
_cell_angle_alpha 90.00
_cell_angle_beta 90.00
_cell_angle_gamma 90.00
_symmetry_space_group_name_H-M 'P 4/m m m'
_symmetry_Int_Tables_number 123
_symmetry_space_group_name_Hall '-P 4 2'
loop_
_atom_site_label
_atom_site_fract_x
_atom_site_fract_y
_atom_site_fract_z
_atom_site_occupancy
Ac1 0.0000 0.0000 0.0000 1
Zn1 0.0000 0.5000 0.5000 1
As1 0.5000 0.5000 0.0000 1
```



(7)
The following is a DFT calculation (GGA-PBE) of RbSrSbRu2 after structural relaxation.

* crystal system: tetragonal
* uncorrected energy: -3.216 eV/atom
* ΔE_f (raw): 1.85 eV per atom
* magnetic moment: 0.7705 μB/atom

Structure (CIF):
```
data_RbSrSbRu2
_cell_length_a 5.0046
_cell_length_b 5.0046
_cell_length_c 6.2092
_cell_angle_alpha 90.00
_cell_angle_beta 90.00
_cell_angle_gamma 90.00
_symmetry_space_group_name_H-M 'P 4/m m m'
_symmetry_Int_Tables_number 123
_symmetry_space_group_name_Hall '-P 4 2'
loop_
_atom_site_label
_atom_site_fract_x
_atom_site_fract_y
_atom_site_fract_z
_atom_site_occupancy
Rb1 0.0000 0.0000 0.0000 1
Sr1 0.5000 0.5000 0.5000 1
Sb1 0.0000 0.0000 0.5000 1
Ru1 0.0000 0.5000 0.0000 1
```



(8)
The following is a DFT calculation (GGA-PBE) of Pr8Sn2Bi after structural relaxation.

* crystal system: monoclinic
* uncorrected energy: -4.963 eV/atom
* magnetic moment: 0.1062 μB/atom
* E_form: -406 meV per atom

Structure (CIF):
```
data_Pr8Sn2Bi
_cell_length_a 21.2364
_cell_length_b 5.0741
_cell_length_c 7.2858
_cell_angle_alpha 90.00
_cell_angle_beta 105.48
_cell_angle_gamma 90.00
_symmetry_space_group_name_H-M 'C 1 2/m 1'
_symmetry_Int_Tables_number 12
loop_
_symmetry_equiv_pos_as_xyz
'x,y,z'
'-x,-y,-z'
'-x,y,-z'
'x,-y,z'
'x+1/2,y+1/2,z'
'-x+1/2,-y+1/2,-z'
'-x+1/2,y+1/2,-z'
'x+1/2,-y+1/2,z'
loop_
_atom_site_label
_atom_site_fract_x
_atom_site_fract_y
_atom_site_fract_z
_atom_site_occupancy
Pr1 0.0323 0.0000 0.2612 1
Pr2 0.0995 0.5000 0.9716 1
Pr3 0.1595 0.5000 0.4972 1
Pr4 0.2180 0.0000 0.8234 1
Sn1 0.1848 0.0000 0.2482 1
Bi1 0.0000 0.5000 0.5000 1
```



(9)
The following is a DFT calculation (GGA-PBE) of CeH6PdPt after structural relaxation.

* crystal system: hexagonal
* uncorrected energy: -4.469 eV/atom
* magnetic moment: 0.1047 μB/atom

Structure (CIF):
```
data_CeH6PdPt
_cell_length_a 4.8150
_cell_length_b 4.8150
_cell_length_c 4.3237
_cell_angle_alpha 90.00
_cell_angle_beta 90.00
_cell_angle_gamma 120.00
_symmetry_space_group_name_H-M 'P -6 m 2'
_symmetry_Int_Tables_number 187
_symmetry_space_group_name_Hall 'P -6 2'
loop_
_atom_site_label
_atom_site_fract_x
_atom_site_fract_y
_atom_site_fract_z
_atom_site_occupancy
Ce1 0.0000 0.0000 0.0000 1
H1 0.5050 0.0100 0.2328 1
Pd1 0.3333 0.6667 0.5000 1
Pt1 0.6667 0.3333 0.5000 1
```



(10)
The following is a DFT calculation (GGA-PBE) of LiCdCl2 after structural relaxation.

* crystal system: cubic
* distance to the lowest polymorph of the same formula: 228 meV per atom
* uncorrected energy: -2.463 eV/atom
* ΔE_f (raw): -0.83 eV per atom
* magnetic moment: 0.0000 μB/atom

Structure (CIF):
```
data_LiCdCl2
_cell_length_a 7.0650
_cell_length_b 7.0650
_cell_length_c 7.0650
_cell_angle_alpha 90.00
_cell_angle_beta 90.00
_cell_angle_gamma 90.00
_symmetry_space_group_name_H-M 'F m -3 m'
_symmetry_Int_Tables_number 225
_symmetry_space_group_name_Hall '-F 4 2 3'
loop_
_atom_site_label
_atom_site_fract_x
_atom_site_fract_y
_atom_site_fract_z
_atom_site_occupancy
Li1 0.0000 0.0000 0.0000 1
Cd1 0.0000 0.0000 0.5000 1
Cl1 0.2500 0.2500 0.2500 1
```



(11)
The following is a DFT calculation (GGA-PBE) of CaBeSiTc2 after structural relaxation.

* crystal system: tetragonal
* uncorrected energy: -5.857 eV/atom
* ΔE_f (raw): 0.52 eV per atom
* magnetic moment: 0.4434 μB/atom

Structure (CIF):
```
data_CaBeSiTc2
_cell_length_a 4.5891
_cell_length_b 4.5891
_cell_length_c 4.2524
_cell_angle_alpha 90.00
_cell_angle_beta 90.00
_cell_angle_gamma 90.00
_symmetry_space_group_name_H-M 'P 4/m m m'
_symmetry_Int_Tables_number 123
_symmetry_space_group_name_Hall '-P 4 2'
loop_
_atom_site_label
_atom_site_fract_x
_atom_site_fract_y
_atom_site_fract_z
_atom_site_occupancy
Ca1 0.0000 0.0000 0.0000 1
Be1 0.5000 0.5000 0.0000 1
Si1 0.5000 0.5000 0.5000 1
Tc1 0.0000 0.5000 0.5000 1
```



(12)
The following is a DFT calculation (GGA-PBE) of SrLuMgSn after structural relaxation.

* crystal system: cubic
* uncorrected energy: -3.226 eV/atom
* magnetic moment: 0.0000 μB/atom
* E_form: -276 meV per atom

Structure (CIF):
```
data_SrLuMgSn
_cell_length_a 7.7303
_cell_length_b 7.7303
_cell_length_c 7.7303
_cell_angle_alpha 90.00
_cell_angle_beta 90.00
_cell_angle_gamma 90.00
_symmetry_space_group_name_H-M 'F -4 3 m'
_symmetry_Int_Tables_number 216
_symmetry_space_group_name_Hall 'F -4 2 3'
loop_
_atom_site_label
_atom_site_fract_x
_atom_site_fract_y
_atom_site_fract_z
_atom_site_occupancy
Sr1 0.0000 0.0000 0.0000 1
Lu1 0.0000 0.0000 0.5000 1
Mg1 0.2500 0.2500 0.2500 1
Sn1 0.2500 0.2500 0.7500 1
```



Look up the uncorrected energy of the fourth one.
-2.937 eV/atom